Entry 1:
{"formula": "CdFe2As", "functional": "PBE", "state": "relaxed", "delta_e_f_kj_per_mol_atoms": 34, "total_magnetization_mub_per_fu": 5.6, "polymorph_energy_kj_per_mol_atoms": 23.0, "vol_a3_per_atom": 15.456, "final_energy_ev_per_atom": -5.2726, "cell": [[3.992, 0.000, 0.000], [0.000, 3.996, 0.000], [0.000, 0.000, 3.875]], "species": ["Fe", "Fe", "Cd", "As"], "frac_coords": [[0.000, 0.000, 0.000], [0.500, 0.500, 0.000], [0.000, 0.500, 0.500], [0.500, 0.000, 0.500]]}

Entry 2:
{"formula": "Cd2Fe2As", "functional": "PBE", "state": "relaxed", "delta_e_f_kj_per_mol_atoms": 16, "total_magnetization_mub_per_fu": 0.0, "polymorph_energy_kj_per_mol_atoms": 0.0, "vol_a3_per_atom": 15.887, "final_energy_ev_per_atom": -4.5135, "cell": [[5.929, 0.000, 0.000], [0.000, 5.929, 0.000], [0.000, 0.000, 4.520]], "species": ["Cd", "Cd", "Fe", "Cd", "Cd", "Fe", "As", "Fe", "As", "Fe"], "frac_coords": [[0.168, 0.668, 0.500], [0.668, 0.832, 0.500], [0.863, 0.637, 0.000], [0.332, 0.168, 0.500], [0.832, 0.332, 0.500], [0.637, 0.137, 0.000], [0.000, 0.000, 0.000], [0.137, 0.363, 0.000], [0.500, 0.500, 0.000], [0.363, 0.863, 0.000]]}